Record 1
Nb4SiSbN2, relaxed, DFT PBE; E = -8.91 eV/atom; density = 7.68 Mg/m³; SG = No. 187
1.0
3.2931 0.0000 0.0000
-1.6465 2.8519 0.0000
0.0000 0.0000 12.6542
Nb Si Sb N
4 1 1 2
Direct
0.0000 0.0000 0.1457
0.0000 0.0000 0.8543
0.6667 0.3333 0.3231
0.6667 0.3333 0.6769
0.6667 0.3333 0.0000
0.0000 0.0000 0.5000
0.3333 0.6667 0.2393
0.3333 0.6667 0.7607


Record 2
Ta2Nb4Sb3N3, relaxed, DFT PBE; E = -8.91 eV/atom; density = 9.94 Mg/m³; SG = No. 15
1.0
5.0514 -2.9037 0.0000
5.0514 2.9037 0.0000
-3.2415 0.0000 12.9977
Ta Nb Sb N
4 8 6 6
Direct
0.0232 0.8429 0.5784
0.1571 0.9768 0.9216
0.8429 0.0232 0.0784
0.9768 0.1571 0.4216
0.1906 0.3791 0.0844
0.3215 0.4560 0.4155
0.3791 0.1906 0.5844
0.4560 0.3215 0.9155
0.5440 0.6785 0.0845
0.6209 0.8094 0.4156
0.6785 0.5440 0.5845
0.8094 0.6209 0.9156
0.0854 0.2445 0.7501
0.2445 0.0854 0.2501
0.4130 0.5870 0.7500
0.5870 0.4130 0.2500
0.7555 0.9146 0.7499
0.9146 0.7555 0.2499
0.0000 0.5000 0.5000
0.1570 0.6874 0.9997
0.3126 0.8430 0.5003
0.5000 0.0000 0.0000
0.6874 0.1570 0.4997
0.8430 0.3126 0.0003


Record 3
Nb4TlSbN2, relaxed, DFT PBE; E = -8.39 eV/atom; density = 9.39 Mg/m³; SG = No. 187
1.0
3.2946 0.0000 0.0000
-1.6473 2.8532 0.0000
0.0000 0.0000 13.6509
Nb Tl Sb N
4 1 1 2
Direct
0.0000 0.0000 0.1636
0.0000 0.0000 0.8364
0.6667 0.3333 0.3244
0.6667 0.3333 0.6756
0.0000 0.0000 0.5000
0.6667 0.3333 0.0000
0.3333 0.6667 0.2442
0.3333 0.6667 0.7558


Record 4
Nb2Sb3W4N3, relaxed, DFT PBE; E = -8.99 eV/atom; density = 11.79 Mg/m³; SG = No. 15
1.0
5.1592 -2.9181 0.0000
5.1592 2.9181 0.0000
-3.4627 0.0000 12.4326
Nb Sb W N
4 6 8 6
Direct
0.0283 0.8683 0.5863
0.1317 0.9717 0.9137
0.8683 0.0283 0.0863
0.9717 0.1317 0.4137
0.0874 0.2626 0.7507
0.2626 0.0874 0.2507
0.4373 0.5627 0.7500
0.5627 0.4373 0.2500
0.7374 0.9126 0.7493
0.9126 0.7374 0.2493
0.1856 0.3459 0.0733
0.2926 0.4894 0.4273
0.3459 0.1856 0.5733
0.4894 0.2926 0.9273
0.5106 0.7074 0.0727
0.6541 0.8144 0.4267
0.7074 0.5106 0.5727
0.8144 0.6541 0.9267
0.0000 0.5000 0.5000
0.1806 0.6437 0.0029
0.3563 0.8194 0.4971
0.5000 0.0000 0.0000
0.6437 0.1806 0.5029
0.8194 0.3563 0.9971


Record 5
Nb4Sb3W2N3, relaxed, DFT PBE; E = -8.82 eV/atom; density = 10.18 Mg/m³; SG = No. 15
1.0
5.0175 -2.8976 0.0000
5.0175 2.8976 0.0000
-3.3722 0.0000 12.8672
Nb Sb W N
8 6 4 6
Direct
0.0221 0.1985 0.0830
0.1456 0.3032 0.4171
0.1985 0.0221 0.5830
0.3032 0.1456 0.9171
0.6968 0.8544 0.0829
0.8015 0.9779 0.4170
0.8544 0.6968 0.5829
0.9779 0.8015 0.9170
0.0923 0.9077 0.2500
0.2579 0.4170 0.7496
0.4170 0.2579 0.2496
0.5830 0.7421 0.7504
0.7421 0.5830 0.2504
0.9077 0.0923 0.7500
0.3633 0.5289 0.0788
0.4711 0.6367 0.4212
0.5289 0.3633 0.5788
0.6367 0.4711 0.9212
0.0000 0.5000 0.0000
0.1715 0.6627 0.5005
0.3373 0.8285 0.9995
0.5000 0.0000 0.5000
0.6627 0.1715 0.0005
0.8285 0.3373 0.4995


Record 6
Y2Nb4Sb3N3, relaxed, DFT PBE; E = -8.32 eV/atom; density = 7.65 Mg/m³; SG = No. 15
1.0
5.1487 -3.0117 0.0000
5.1487 3.0117 0.0000
-3.4712 0.0000 13.3976
Y Nb Sb N
4 8 6 6
Direct
0.0324 0.8676 0.5996
0.1324 0.9676 0.9004
0.8676 0.0324 0.0996
0.9676 0.1324 0.4004
0.1929 0.3654 0.0743
0.3138 0.4660 0.4257
0.3654 0.1929 0.5743
0.4660 0.3138 0.9257
0.5340 0.6862 0.0743
0.6346 0.8071 0.4257
0.6862 0.5340 0.5743
0.8071 0.6346 0.9257
0.0800 0.3000 0.7503
0.3000 0.0800 0.2503
0.4580 0.5420 0.7500
0.5420 0.4580 0.2500
0.7000 0.9200 0.7497
0.9200 0.7000 0.2497
0.0000 0.5000 0.5000
0.1641 0.6739 0.0001
0.3261 0.8359 0.4999
0.5000 0.0000 0.0000
0.6739 0.1641 0.5001
0.8359 0.3261 0.9999


Question: Which formula does entry 2 have?
Answer: Ta2Nb4Sb3N3


Question: Which value of E does entry 6 give?
Answer: -8.32 eV/atom


Question: density of number 3 (Nb4TlSbN2)?
Answer: 9.39 Mg/m³